# 1
The following is a DFT calculation (PBE) of Ac3Cd2SbPd9 after structural relaxation.

Computed properties:
**Spin magnetization**: 0.00 μB/f.u.
**ρ**: 8.53 g/cm³
**Uncorrected energy**: -70.904 eV/cell
**Space group**: No. 164
**Energy relative to the elements, uncorrected**: -0.3927 eV per atom

Structure (POSCAR):
```
Ac3Cd2SbPd9
1.0
-3.242 -6.181 0.461
4.960 1.702 4.629
-6.330 3.725 5.412
Cd Pd Ac Sb
2 9 3 1
direct
0.667 0.333 0.807 Cd
0.333 0.667 0.193 Cd
0.000 0.500 0.000 Pd
0.132 0.265 0.275 Pd
0.132 0.868 0.275 Pd
0.500 0.000 0.000 Pd
0.868 0.132 0.725 Pd
0.868 0.735 0.725 Pd
0.735 0.868 0.275 Pd
0.265 0.132 0.725 Pd
0.500 0.500 0.000 Pd
0.000 0.000 0.000 Ac
0.333 0.667 0.737 Ac
0.667 0.333 0.263 Ac
0.000 0.000 0.500 Sb
```

---

# 2
The following is a DFT calculation (PBE) of Ac2CdSb3Pd4 after structural relaxation.

Computed properties:
**Spin magnetization**: 0.00 μB/f.u.
**ρ**: 9.45 g/cm³
**Uncorrected energy**: -50.773 eV/cell
**Space group**: No. 115
**Energy relative to the elements, uncorrected**: -0.8502 eV per atom

Structure (POSCAR):
```
Ac2CdSb3Pd4
1.0
-2.662 -3.606 -1.342
2.352 -2.817 2.902
-7.088 2.274 7.952
Sb Pd Ac Cd
3 4 2 1
direct
0.000 0.000 0.500 Sb
0.000 0.500 0.129 Sb
0.500 0.000 0.871 Sb
0.500 0.000 0.630 Pd
0.000 0.000 0.000 Pd
0.000 0.500 0.370 Pd
0.500 0.500 0.000 Pd
0.500 0.000 0.237 Ac
0.000 0.500 0.763 Ac
0.500 0.500 0.500 Cd
```

---

# 3
The following is a DFT calculation (PBE) of AcScCdPd after structural relaxation.

Computed properties:
**Spin magnetization**: 0.00 μB/f.u.
**ρ**: 7.91 g/cm³
**Uncorrected energy**: -17.968 eV/cell
**Space group**: No. 216
**DFT formation energy**: -0.35 eV per atom

Structure (POSCAR):
```
AcScCdPd
1.0
5.263 0.000 0.000
2.631 4.558 0.000
2.631 1.519 4.297
Ac Pd Cd Sc
1 1 1 1
direct
0.000 0.000 0.000 Ac
0.250 0.250 0.250 Pd
0.750 0.750 0.750 Cd
0.500 0.500 0.500 Sc
```

---

# 4
The following is a DFT calculation (PBE) of Ac2ScCdPd6 after structural relaxation.

Computed properties:
**Spin magnetization**: 0.00 μB/f.u.
**ρ**: 8.43 g/cm³
**Uncorrected energy**: -49.496 eV/cell
**Space group**: No. 225
**DFT formation energy**: -0.29 eV per atom

Structure (POSCAR):
```
Ac2ScCdPd6
1.0
7.036 0.000 0.000
0.000 7.036 0.000
3.518 3.518 4.975
Pd Sc Ac Cd
6 1 2 1
direct
0.257 0.743 0.000 Pd
0.743 0.743 0.000 Pd
0.257 0.257 0.486 Pd
0.743 0.257 0.000 Pd
0.743 0.743 0.514 Pd
0.257 0.257 0.000 Pd
0.500 0.500 0.000 Sc
0.250 0.750 0.500 Ac
0.750 0.250 0.500 Ac
0.000 0.000 0.000 Cd
```

---

# 5
The following is a DFT calculation (PBE) of Ac2CdSiPd6 after structural relaxation.

Computed properties:
**Spin magnetization**: 0.00 μB/f.u.
**ρ**: 9.36 g/cm³
**Uncorrected energy**: -52.736 eV/cell
**Space group**: No. 2
**Energy relative to the elements, uncorrected**: -0.7024 eV per atom

Structure (POSCAR):
```
Ac2CdSiPd6
1.0
6.482 0.308 -0.786
0.382 7.023 -1.245
2.837 2.839 4.012
Pd Ac Cd Si
6 2 1 1
direct
0.730 0.725 0.523 Pd
0.894 0.399 0.854 Pd
0.271 0.276 0.974 Pd
0.106 0.601 0.146 Pd
0.729 0.724 0.026 Pd
0.270 0.275 0.477 Pd
0.728 0.218 0.527 Ac
0.272 0.782 0.473 Ac
0.000 0.000 0.000 Cd
0.500 0.500 0.000 Si
```

---

# 6
The following is a DFT calculation (PBE) of Ac2CdSi3Pd4 after structural relaxation.

Computed properties:
**Spin magnetization**: 0.00 μB/f.u.
**ρ**: 8.76 g/cm³
**Uncorrected energy**: -53.863 eV/cell
**Space group**: No. 115
**Energy relative to the elements, uncorrected**: -0.7690 eV per atom

Structure (POSCAR):
```
Ac2CdSi3Pd4
1.0
4.406 0.000 0.000
0.000 4.406 0.000
0.000 0.000 10.510
Pd Si Ac Cd
4 3 2 1
direct
0.500 0.500 0.000 Pd
0.000 0.000 0.000 Pd
0.500 0.000 0.648 Pd
0.000 0.500 0.352 Pd
0.000 0.000 0.500 Si
0.000 0.500 0.118 Si
0.500 0.000 0.882 Si
0.000 0.500 0.754 Ac
0.500 0.000 0.246 Ac
0.500 0.500 0.500 Cd
```

---

# 7
The following is a DFT calculation (PBE) of AcCd2SiPd2 after structural relaxation.

Computed properties:
**Spin magnetization**: 0.00 μB/f.u.
**ρ**: 7.59 g/cm³
**Uncorrected energy**: -23.555 eV/cell
**Space group**: No. 139
**Energy relative to the elements, uncorrected**: -0.3012 eV per atom

Structure (POSCAR):
```
AcCd2SiPd2
1.0
5.120 0.000 0.000
0.000 5.120 0.000
-2.560 -2.560 5.780
Ac Si Cd Pd
1 1 2 2
direct
0.500 0.500 0.000 Ac
0.000 0.000 0.000 Si
0.250 0.750 0.500 Cd
0.750 0.250 0.500 Cd
0.192 0.192 0.385 Pd
0.808 0.808 0.615 Pd
```

---

# 8
The following is a DFT calculation (PBE) of Ac2CdSi4Pd3 after structural relaxation.

Computed properties:
**Spin magnetization**: 0.00 μB/f.u.
**ρ**: 8.20 g/cm³
**Uncorrected energy**: -53.598 eV/cell
**Space group**: No. 115
**Energy relative to the elements, uncorrected**: -0.7195 eV per atom

Structure (POSCAR):
```
Ac2CdSi4Pd3
1.0
-0.887 4.311 -0.151
-1.959 -0.540 -3.907
-9.097 -1.702 4.797
Cd Ac Si Pd
1 2 4 3
direct
0.500 0.500 0.500 Cd
0.000 0.500 0.758 Ac
0.500 0.000 0.242 Ac
0.000 0.000 0.000 Si
0.500 0.500 0.000 Si
0.000 0.500 0.355 Si
0.500 0.000 0.645 Si
0.000 0.500 0.113 Pd
0.500 0.000 0.887 Pd
0.000 0.000 0.500 Pd
```

---

> What is the formula in the seventh record?

AcCd2SiPd2